The following is a DFT calculation (PBEsol) of an optimized crystal structure of TlSe2.

Unit cell a=5.967 b=5.967 c=5.967 alpha=96.18 beta=116.50 gamma=116.50
Atoms (fractional coordinates):
Tl  0.000  0.250  0.250
Tl  0.000  0.750  0.750
Se  0.500  0.870  0.630
Se  0.500  0.130  0.370
Se  0.239  0.370  0.870
Se  0.761  0.630  0.130

Computed properties:
E above lowest polymorph in eV/f.u.: 0.00
Formation energy (no corrections) in meV/atom: -143

***

The following is a DFT calculation (PBEsol) of an optimized crystal structure of Tl3Se.

Unit cell a=3.938 b=3.938 c=8.873 alpha=90.00 beta=90.00 gamma=120.00
Atoms (fractional coordinates):
Tl  0.000  0.000  0.500
Tl  0.333  0.667  0.789
Tl  0.333  0.667  0.211
Se  0.000  0.000  0.000

Computed properties:
Formation energy (no corrections) in meV/atom: -144

***

The following is a DFT calculation (PBEsol) of an optimized crystal structure of Tl3Se.

Unit cell a=3.995 b=5.838 c=5.838 alpha=114.96 beta=103.19 gamma=103.19
Atoms (fractional coordinates):
Se  0.000  0.000  0.000
Tl  0.500  0.000  0.500
Tl  0.500  0.500  0.000
Tl  0.000  0.500  0.500

Computed properties:
Formation energy (no corrections) in meV/atom: -81

***

The following is a DFT calculation (PBEsol) of an optimized crystal structure of Tl3Se.

Unit cell a=3.987 b=5.280 c=6.180 alpha=115.29 beta=108.82 gamma=90.00
Atoms (fractional coordinates):
Tl  0.722  0.222  0.444
Tl  0.500  0.500  0.000
Tl  0.278  0.778  0.556
Se  0.000  0.000  0.000

Computed properties:
Formation energy (no corrections) in meV/atom: -191

***

The following is a DFT calculation (PBEsol) of an optimized crystal structure of TlSe3.

Unit cell a=6.348 b=8.759 c=10.941 alpha=90.00 beta=90.00 gamma=90.00
Atoms (fractional coordinates):
Se  0.149  0.787  0.183
Se  0.149  0.787  0.817
Se  0.421  0.801  0.500
Se  0.579  0.699  0.000
Se  0.851  0.713  0.683
Se  0.851  0.713  0.317
Se  0.142  0.000  0.000
Se  0.298  0.000  0.658
Se  0.298  0.000  0.342
Se  0.149  0.213  0.183
Se  0.149  0.213  0.817
Se  0.421  0.199  0.500
Se  0.579  0.301  0.000
Se  0.851  0.287  0.683
Se  0.851  0.287  0.317
Se  0.858  0.500  0.500
Se  0.702  0.500  0.158
Se  0.702  0.500  0.842
Tl  0.855  0.000  0.500
Tl  0.684  0.000  0.158
Tl  0.684  0.000  0.842
Tl  0.145  0.500  0.000
Tl  0.316  0.500  0.658
Tl  0.316  0.500  0.342

Computed properties:
Formation energy (no corrections) in meV/atom: -74

***

The following is a DFT calculation (PBEsol) of an optimized crystal structure of TlSe.

Unit cell a=6.590 b=6.590 c=6.590 alpha=106.17 beta=106.17 gamma=116.30
Atoms (fractional coordinates):
Tl  0.250  0.250  0.000
Tl  0.750  0.750  0.000
Tl  0.750  0.250  0.500
Tl  0.250  0.750  0.500
Se  0.316  0.184  0.500
Se  0.684  0.816  0.500
Se  0.184  0.684  0.869
Se  0.816  0.316  0.131

Computed properties:
Formation energy (no corrections) in meV/atom: -248

***

> Which of these has the lowest formation energy (no corrections)?

TlSe